VASP calculation (PBE) on a relaxed CsIn2PbCl8 crystal.

Lattice parameters (Å, degrees): 7.0238 7.0238 10.7148 70.87 70.87 60.00
Atoms (fractional coordinates):
Cs 0.5000 0.5000 0.5000
In 0.2508 0.2508 0.2476
In 0.7492 0.7492 0.7524
Pb 0.0000 0.0000 0.0000
Cl 0.1688 0.1688 0.4937
Cl 0.6092 0.2916 0.1727
Cl 0.8312 0.8312 0.5063
Cl 0.9265 0.6092 0.1727
Cl 0.0735 0.3908 0.8273
Cl 0.2916 0.9265 0.1727
Cl 0.7084 0.0735 0.8273
Cl 0.3908 0.7084 0.8273

Values from the calculation:
Formation energy (no corrections)   -13.9 eV/f.u.
Symmetry   R-3

VASP calculation (PBE) on a relaxed BeNbGeS2 crystal.

Lattice parameters (Å, degrees): 4.6262 5.1127 4.6262 90.00 90.00 90.00
Atoms (fractional coordinates):
S 0.0000 0.0000 0.5000
S 0.5000 0.0000 0.0000
Be 0.5000 0.5000 0.5000
Nb 0.0000 0.5000 0.0000
Ge 0.0000 0.0000 0.0000

Values from the calculation:
Formation energy (no corrections)   6.3 eV/f.u.
Symmetry   P4/mmm

VASP calculation (PBE) on a relaxed ZnGeRh2 crystal.

Lattice parameters (Å, degrees): 3.7274 3.7274 5.7821 71.20 71.20 60.00
Atoms (fractional coordinates):
Zn 0.4980 0.4980 0.5060
Ge 0.6689 0.6689 0.9933
Rh 0.0721 0.0721 0.7837
Rh 0.2610 0.2610 0.2170

Values from the calculation:
ΔH_f (0 K)   -0.244 eV per atom
Symmetry   R3m

| no. | Fermi-level density of states (states/eV/cell) |
| --- | --- |
| 1 | 7.2 |
| 2 | 4.2 |
| 3 | 2.4 |